[1]
# BaSr2ZnPd

An optimized crystal structure of BaSr2ZnPd (GGA-PBE, Alexandria).

Summary:
energy relative to the lowest polymorph listed for this composition	0.000	eV per atom
formation energy from the elements	-0.19	eV per atom
DOS(E_F)	4.42	states/eV/cell

abc: 5.954 5.954 5.202
angles: 90.00 90.00 90.00
Space group P4/mmm (No. 123)
Unique sites:
Ba: 0.000 0.000 0.000 x1
Sr: 0.000 0.500 0.500 x2
Zn: 0.500 0.500 0.000 x1
Pd: 0.500 0.500 0.500 x1

=====

[2]
# Ca4CeCd5

An optimized crystal structure of Ca4CeCd5 (GGA-PBE, Alexandria).

Summary:
formation energy from the elements	-0.31	eV per atom
DOS(E_F)	13.33	states/eV/cell

abc: 3.802 3.802 19.472
angles: 90.00 90.00 90.00
Space group P4/mmm (No. 123)
Unique sites:
Ca: 0.000 0.000 0.100 x2
Ca: 0.000 0.000 0.298 x2
Ce: 0.000 0.000 0.500 x1
Cd: 0.500 0.500 0.000 x1
Cd: 0.500 0.500 0.199 x2
Cd: 0.500 0.500 0.398 x2

=====

[3]
# Rb4SrCl6

An optimized crystal structure of Rb4SrCl6 (GGA-PBE, Alexandria).

Summary:
DOS(E_F)	0.00	states/eV/cell
E_form (uncorrected)	-2.086	eV per atom

abc: 13.0328 13.0328 16.1059
angles: 90.00 90.00 120.00
Space group R-3c (No. 167, hexagonal axes)
Unique sites:
Rb: 0.0000 0.0000 0.2500 x6
Rb: 0.0000 0.3687 0.2500 x18
Sr: 0.0000 0.0000 0.0000 x6
Cl: 0.0290 0.1924 0.3953 x36

=====

[4]
# La2ReBr

An optimized crystal structure of La2ReBr (GGA-PBE, Alexandria).

Summary:
energy relative to the lowest polymorph listed for this composition	0.590	eV per atom
DOS(E_F)	7.57	states/eV/cell
E_form (uncorrected)	0.072	eV per atom

abc: 4.201 4.201 11.332
angles: 90.00 90.00 90.00
Space group I-4m2 (No. 119)
Unique sites:
La: 0.000 0.000 0.000 x2
La: 0.000 0.500 0.250 x2
Re: 0.000 0.500 0.750 x2
Br: 0.000 0.000 0.500 x2

=====

[5]
# TaSbPb2

An optimized crystal structure of TaSbPb2 (GGA-PBE, Alexandria).

Summary:
DOS(E_F)	2.24	states/eV/cell
E_form (uncorrected)	0.538	eV per atom

abc: 3.274 5.520 5.804
angles: 90.00 98.73 90.00
Space group P2/m (No. 10)
Unique sites:
Ta: 0.000 0.000 0.000 x1
Sb: 0.000 0.000 0.500 x1
Pb: 0.315 0.500 0.238 x2

=====

[6]
# SiC7

An optimized crystal structure of SiC7 (GGA-PBE, Alexandria).

Summary:
DOS(E_F)	16.56	states/eV/cell
E_form (uncorrected)	3.843	eV per atom

abc: 6.284 6.284 6.284
angles: 90.00 90.00 90.00
Space group Fm-3m (No. 225)
Unique sites:
Si: 0.000 0.000 0.000 x4
C: 0.000 0.000 0.500 x4
C: 0.000 0.250 0.250 x24

=====

[7]
# YFeCl2

An optimized crystal structure of YFeCl2 (GGA-PBE, Alexandria).

Summary:
energy relative to the lowest polymorph listed for this composition	0.388	eV per atom
DOS(E_F)	30.93	states/eV/cell
E_form (uncorrected)	-0.434	eV per atom

abc: 6.788 6.788 6.788
angles: 90.00 90.00 90.00
Space group Fm-3m (No. 225)
Unique sites:
Y: 0.000 0.000 0.000 x4
Fe: 0.000 0.000 0.500 x4
Cl: 0.250 0.250 0.250 x8

=====

[8]
# Ba2MnMo

An optimized crystal structure of Ba2MnMo (GGA-PBE, Alexandria).

Summary:
energy relative to the lowest polymorph listed for this composition	0.769	eV per atom
formation energy from the elements	1.30	eV per atom
DOS(E_F)	11.23	states/eV/cell

abc: 3.6075 3.6075 31.9652
angles: 90.00 90.00 120.00
Space group R-3m (No. 166, hexagonal axes)
Unique sites:
Ba: 0.0000 0.0000 0.2459 x6
Mn: 0.0000 0.0000 0.0000 x3
Mo: 0.0000 0.0000 0.5000 x3